No. 1
VASP calculation (PBE-GGA) on a geometry-optimized Mg2Ag7Sn2Hg structure.

The calculation puts the total energy at -2.64 eV per atom. The space group is C2/m.

Unit cell a=4.4243 b=4.4243 c=12.6085 alpha=90.25 beta=90.25 gamma=93.20
Element x y z (fractional)
Mg 0.9999 0.9999 0.1929
Mg 0.0001 0.0001 0.8071
Ag 0.0000 0.0000 0.5000
Ag 0.0007 0.4993 0.3435
Ag 0.2393 0.2393 0.0008
Ag 0.4993 0.0007 0.3435
Ag 0.5007 0.9993 0.6565
Ag 0.7607 0.7607 0.9992
Ag 0.9993 0.5007 0.6565
Sn 0.4984 0.4984 0.8101
Sn 0.5016 0.5016 0.1899
Hg 0.5000 0.5000 0.5000

No. 2
VASP calculation (PBE-GGA) on a geometry-optimized Te2PdRu structure.

The space group is R-3m. The calculation puts the formation energy from raw total energies at 0.08 eV/atom. The value obtained for the distance to the lowest polymorph of the same formula is 54.3 meV per atom.

Unit cell a=8.4963 b=8.4963 c=8.4963 alpha=25.38 beta=25.38 gamma=25.38
Element x y z (fractional)
Te 0.1041 0.1041 0.1041
Te 0.8959 0.8959 0.8959
Pd 0.0000 0.0000 0.0000
Ru 0.5000 0.5000 0.5000

No. 3
VASP calculation (PBE-GGA) on a geometry-optimized LiPrDySi structure.

The space group is F-43m. The calculation puts the formation energy from raw total energies at -0.34 eV/atom.

Unit cell a=5.0833 b=5.0833 c=5.0833 alpha=60.00 beta=60.00 gamma=60.00
Element x y z (fractional)
Li 0.0000 0.0000 0.0000
Pr 0.2500 0.2500 0.2500
Dy 0.7500 0.7500 0.7500
Si 0.5000 0.5000 0.5000

No. 4
VASP calculation (PBE-GGA) on a geometry-optimized CoTeIr3 structure.

The space group is Pm-3m. The calculation puts the formation energy from raw total energies at 1.31 eV/atom. The value obtained for the distance to the lowest polymorph of the same formula is 0.0 meV per atom.

Unit cell a=4.5352 b=4.5352 c=4.5352 alpha=90.00 beta=90.00 gamma=90.00
Element x y z (fractional)
Co 0.0000 0.0000 0.0000
Te 0.5000 0.5000 0.5000
Ir 0.0000 0.0000 0.5000
Ir 0.0000 0.5000 0.0000
Ir 0.5000 0.0000 0.0000

No. 5
VASP calculation (PBE-GGA) on a geometry-optimized ZnNiW structure.

The space group is P3m1. The value obtained for the distance to the lowest polymorph of the same formula is 127.1 meV per atom.

Unit cell a=2.7334 b=2.7334 c=6.5064 alpha=90.00 beta=90.00 gamma=120.00
Element x y z (fractional)
Zn 0.0000 0.0000 0.0000
Ni 0.6667 0.3333 0.3139
W 0.3333 0.6667 0.6324

No. 6
VASP calculation (PBE-GGA) on a geometry-optimized TlFe2Co2 structure.

The space group is I4/mmm. The value obtained for the distance to the lowest polymorph of the same formula is 84.9 meV per atom.

Unit cell a=6.0422 b=6.0422 c=6.0422 alpha=144.62 beta=144.62 gamma=50.90
Element x y z (fractional)
Tl 0.0000 0.0000 0.0000
Fe 0.3846 0.3846 0.0000
Fe 0.6154 0.6154 0.0000
Co 0.2500 0.7500 0.5000
Co 0.7500 0.2500 0.5000

Which formula does entry 4 have? CoTeIr3